Computed, not measured: crystalline CsIn2Hg2 at its relaxed geometry at the GGA-PBE level of DFT.

- Density: 7.4 Mg/m³
- Energy above the lowest structure with this stoichiometry: 0.005 eV/atom

Cell: 6.7844 6.7844 6.7844 Å, 131.38 131.38 71.20°
With the nearest neighbours (Å) after each atom.
Fractional positions:
Cs 0.0000 0.0000 0.0000  8 Hg 3.93, 10 In 4.01-4.23
In 0.3631 0.3631 0.0000  1 In 3.02, 4 Hg 3.06
In 0.6369 0.6369 0.0000  1 In 3.02, 4 Hg 3.06
Hg 0.2500 0.7500 0.5000  4 In 3.06
Hg 0.7500 0.2500 0.5000  4 In 3.06



Computed, not measured: crystalline La8Tl3Bi2 at its relaxed geometry at the GGA-PBE level of DFT.

- VASP energy: -59.5 eV for the cell shown
- Density: 7.5 Mg/m³

Cell: 9.8113 9.8113 5.3139 Å, 90.00 90.00 112.48°
With the nearest neighbours (Å) after each atom.
Fractional positions:
La 0.1145 0.8855 0.0000  2 Bi 3.34, 2 Tl 3.34, 1 La 3.73
La 0.1305 0.3840 0.5000  2 Bi 3.34-3.44, 3 Tl 3.36-3.37
La 0.3683 0.6317 0.0000  2 Bi 3.40, 4 Tl 3.42-3.44, 4 La 3.75
La 0.3840 0.1305 0.5000  2 Bi 3.34-3.44, 3 Tl 3.36-3.37
La 0.6160 0.8695 0.5000  2 Bi 3.34-3.44, 3 Tl 3.36-3.37
La 0.6317 0.3683 0.0000  2 Bi 3.40, 4 Tl 3.42-3.44, 4 La 3.75
La 0.8695 0.6160 0.5000  2 Bi 3.34-3.44, 3 Tl 3.36-3.37
La 0.8855 0.1145 0.0000  2 Bi 3.34, 2 Tl 3.34, 1 La 3.73
Tl 0.2540 0.2540 0.0000  8 La 3.34-3.44
Tl 0.5000 0.5000 0.5000  8 La 3.36-3.42
Tl 0.7460 0.7460 0.0000  8 La 3.34-3.44
Bi 0.2382 0.7618 0.5000  8 La 3.34-3.44
Bi 0.7618 0.2382 0.5000  8 La 3.34-3.44



Question: Which value of density does entry 2 give?
Answer: 7.5 Mg/m³



Question: Look up the density of the first one.
Answer: 7.4 Mg/m³



Question: What is the density in the first record?
Answer: 7.4 Mg/m³